The following is a PBE+U calculation of a geometry-optimized Li4Mn3Fe5O16 structure, from Alexandria.

## Properties
Fermi-level density of states = 4.554 states/eV/f.u.
symmetry = Cm, No. 8
E = -6.267 eV per atom
magnetization = 5.0 μB/f.u.

Cell: 5.8321 5.8321 9.4917 Å, 89.30 89.30 59.53°
Each line ends with the local moment (μB).
Fractional coordinates of all 28 atoms:
Li 0.6704 0.6704 0.8979  0.01
Li 0.9975 0.9975 0.9975  0.00
Li 0.9957 0.9957 0.4953  0.00
Li 0.3384 0.3384 0.3900  -0.01
Mn 0.8299 0.8299 0.2143  3.13
Mn 0.6608 0.1677 0.7166  -1.14
Mn 0.1677 0.6608 0.7166  -1.14
Fe 0.8340 0.3391 0.2108  -2.80
Fe 0.6614 0.6614 0.4891  -4.31
Fe 0.3391 0.8340 0.2108  -2.80
Fe 0.1687 0.1687 0.7145  4.28
Fe 0.3333 0.3333 0.9856  -1.16
O 0.8278 0.3229 0.6019  0.06
O 0.5207 0.5207 0.3325  0.06
O 0.6712 0.6712 0.1052  0.09
O 0.9965 0.9965 0.3070  0.08
O 0.9931 0.9931 0.8118  0.07
O 0.3229 0.8278 0.6019  0.06
O 0.9668 0.5234 0.3385  -0.10
O 0.5234 0.9668 0.3385  -0.10
O 0.1617 0.1617 0.0978  0.12
O 0.8359 0.8359 0.6090  0.04
O 0.4904 0.0422 0.8425  0.13
O 0.0422 0.4904 0.8425  0.13
O 0.3410 0.3410 0.6066  0.07
O 0.6699 0.1578 0.0985  0.02
O 0.4811 0.4811 0.8356  0.11
O 0.1578 0.6699 0.0985  0.02